1.
Material: ZnRuS2
Method: DFT, PBE-GGA
State: relaxed

Cell and atoms, written as POSCAR:
```
ZnRuS2
1.0
5.4867 0.0000 0.0000
0.0000 5.4867 0.0000
0.0000 0.0000 10.1423
Zn Ru S
4 4 8
direct
0.0000 0.0000 0.0000
0.0000 0.5000 0.2500
0.5000 0.0000 0.7500
0.5000 0.5000 0.5000
0.0000 0.0000 0.5000
0.0000 0.5000 0.7500
0.5000 0.0000 0.2500
0.5000 0.5000 0.0000
0.2373 0.2500 0.6250
0.2500 0.7373 0.8750
0.2500 0.7627 0.3750
0.2627 0.2500 0.1250
0.7373 0.7500 0.1250
0.7500 0.2373 0.3750
0.7500 0.2627 0.8750
0.7627 0.7500 0.6250
```

The calculation puts the volume at 305 Å³ per cell. The size of the total moment is 0.0 μB/cell. The raw formation energy comes out at -0.24 eV/atom. The final energy comes out at -4.94 eV/atom.

***

2.
Material: ZnRu2S
Method: DFT, PBE-GGA
State: relaxed

Cell and atoms, written as POSCAR:
```
ZnRu2S
1.0
5.9774 0.0000 0.0000
0.0000 5.9774 0.0000
0.0000 0.0000 5.9774
Zn Ru S
4 8 4
direct
0.0000 0.0000 0.0000
0.0000 0.5000 0.5000
0.5000 0.0000 0.5000
0.5000 0.5000 0.0000
0.2500 0.2500 0.2500
0.2500 0.2500 0.7500
0.2500 0.7500 0.2500
0.2500 0.7500 0.7500
0.7500 0.2500 0.2500
0.7500 0.2500 0.7500
0.7500 0.7500 0.2500
0.7500 0.7500 0.7500
0.0000 0.0000 0.5000
0.0000 0.5000 0.0000
0.5000 0.0000 0.0000
0.5000 0.5000 0.5000
```

The calculation puts the volume at 214 Å³ per cell. The size of the total moment is 0.0 μB/cell. The raw formation energy comes out at 0.22 eV/atom. The final energy comes out at -5.77 eV/atom.

***

3.
Material: ZnRuS2
Method: DFT, PBE-GGA
State: relaxed

Cell and atoms, written as POSCAR:
```
ZnRuS2
1.0
3.2257 0.0000 0.0000
-1.6129 2.7936 0.0000
0.0000 0.0000 22.6693
Zn Ru S
3 3 6
direct
0.0000 0.0000 0.0000
0.3333 0.6667 0.6667
0.6667 0.3333 0.3333
0.0000 0.0000 0.5000
0.3333 0.6667 0.1667
0.6667 0.3333 0.8333
0.0000 0.0000 0.4021
0.0000 0.0000 0.5979
0.3333 0.6667 0.0687
0.3333 0.6667 0.2646
0.6667 0.3333 0.7354
0.6667 0.3333 0.9313
```

The calculation puts the volume at 204 Å³ per cell. The size of the total moment is 0.0 μB/cell. The raw formation energy comes out at 0.20 eV/atom. The final energy comes out at -4.50 eV/atom.

***

> final energy of number 1 (ZnRuS2)?

-4.94 eV/atom

***

What did the second record say?
Material: ZnRu2S
Method: DFT, PBE-GGA
State: relaxed

Cell and atoms, written as POSCAR:
```
ZnRu2S
1.0
5.9774 0.0000 0.0000
0.0000 5.9774 0.0000
0.0000 0.0000 5.9774
Zn Ru S
4 8 4
direct
0.0000 0.0000 0.0000
0.0000 0.5000 0.5000
0.5000 0.0000 0.5000
0.5000 0.5000 0.0000
0.2500 0.2500 0.2500
0.2500 0.2500 0.7500
0.2500 0.7500 0.2500
0.2500 0.7500 0.7500
0.7500 0.2500 0.2500
0.7500 0.2500 0.7500
0.7500 0.7500 0.2500
0.7500 0.7500 0.7500
0.0000 0.0000 0.5000
0.0000 0.5000 0.0000
0.5000 0.0000 0.0000
0.5000 0.5000 0.5000
```

The calculation puts the volume at 214 Å³ per cell. The size of the total moment is 0.0 μB/cell. The raw formation energy comes out at 0.22 eV/atom. The final energy comes out at -5.77 eV/atom.

***

> final energy of number 2 (ZnRu2S)?

-5.77 eV/atom